This record from Alexandria via LeMat-Bulk describes NaYIr2 after structural relaxation. The functional is PBE-GGA.

DOS(E_F) = 2.170 states/eV/f.u.
Formation energy = 0.035 eV/atom
Raw total energy = -6.341 eV per atom
Space-group type = Fm-3m (225)

Geometry as POSCAR:
```
NaYIr2
1.0
0.0000 3.3362 3.3362
3.3362 0.0000 3.3362
3.3362 3.3362 0.0000
Na Y Ir
1 1 2
direct
0.0000 0.0000 0.0000
0.5000 0.5000 0.5000
0.2500 0.2500 0.2500
0.7500 0.7500 0.7500
```

This record from Alexandria via LeMat-Bulk describes Pr6CuAg5 after structural relaxation. The functional is PBE-GGA.

DOS(E_F) = 12.219 states/eV/f.u.
Formation energy = -0.217 eV/atom
Raw total energy = -4.136 eV per atom
Space-group type = P2/m (10)

Geometry as POSCAR:
```
Pr6CuAg5
1.0
5.3579 0.0000 0.0000
0.0000 7.4395 0.0000
-2.6058 0.0000 8.0216
Pr Cu Ag
6 1 5
direct
0.0000 0.2422 0.0000
0.0000 0.7578 0.0000
0.3371 0.2466 0.6743
0.3371 0.7534 0.6743
0.6629 0.2466 0.3257
0.6629 0.7534 0.3257
0.5000 0.0000 0.0000
0.1689 0.5000 0.3373
0.1700 0.0000 0.3397
0.5000 0.5000 0.0000
0.8300 0.0000 0.6603
0.8311 0.5000 0.6627
```

This record from Alexandria via LeMat-Bulk describes LiBr3O after structural relaxation. The functional is PBE-GGA.

DOS(E_F) = 1.644 states/eV/f.u.
Raw total energy = -2.428 eV per atom
Space-group type = Pm-3m (221)

Geometry as POSCAR:
```
LiBr3O
1.0
4.8061 0.0000 0.0000
0.0000 4.8061 0.0000
0.0000 0.0000 4.8061
Li Br O
1 3 1
direct
0.0000 0.0000 0.0000
0.0000 0.5000 0.5000
0.5000 0.0000 0.5000
0.5000 0.5000 0.0000
0.5000 0.5000 0.5000
```

This record from Alexandria via LeMat-Bulk describes Nd4Ga2Hg after structural relaxation. The functional is PBE-GGA.

DOS(E_F) = 7.556 states/eV/f.u.
Formation energy = -0.399 eV/atom
Raw total energy = -4.031 eV per atom
Space-group type = R-3m (166)

Geometry as POSCAR:
```
Nd4Ga2Hg
1.0
2.6263 1.5163 8.3919
-2.6263 1.5163 8.3919
0.0000 -3.0326 8.3919
Nd Ga Hg
4 2 1
direct
0.1173 0.1173 0.1173
0.3697 0.3697 0.3697
0.6303 0.6303 0.6303
0.8827 0.8827 0.8827
0.2475 0.2475 0.2475
0.7525 0.7525 0.7525
0.5000 0.5000 0.5000
```

This record from Alexandria via LeMat-Bulk describes Li2Ac2Tl3 after structural relaxation. The functional is PBE-GGA.

DOS(E_F) = 8.450 states/eV/f.u.
Formation energy = -0.283 eV/atom
Raw total energy = -3.018 eV per atom
Space-group type = Cmcm (63)

Geometry as POSCAR:
```
Li2Ac2Tl3
1.0
2.4090 -10.6243 0.0000
2.4090 10.6243 0.0000
0.0000 0.0000 8.0819
Li Ac Tl
4 4 6
direct
0.1910 0.8090 0.5652
0.1910 0.8090 0.9348
0.8090 0.1910 0.0652
0.8090 0.1910 0.4348
0.3411 0.6589 0.7500
0.4489 0.5511 0.2500
0.5511 0.4489 0.7500
0.6589 0.3411 0.2500
0.0671 0.9329 0.0589
0.0671 0.9329 0.4411
0.2790 0.7210 0.2500
0.7210 0.2790 0.7500
0.9329 0.0671 0.5589
0.9329 0.0671 0.9411
```

This record from Alexandria via LeMat-Bulk describes Tm6TlSn2 after structural relaxation. The functional is PBE-GGA.

DOS(E_F) = 7.002 states/eV/f.u.
Formation energy = -0.333 eV/atom
Raw total energy = -4.467 eV per atom
Space-group type = P2_1/c (14)

Geometry as POSCAR:
```
Tm6TlSn2
1.0
6.1302 0.0000 0.0000
0.0000 8.7624 0.0000
-5.3358 0.0000 9.5454
Tm Tl Sn
12 2 4
direct
0.0504 0.1625 0.4389
0.0504 0.3375 0.9389
0.3551 0.6892 0.4395
0.3551 0.8108 0.9395
0.4184 0.0328 0.3000
0.4184 0.4672 0.8000
0.5816 0.5328 0.2000
0.5816 0.9672 0.7000
0.6449 0.1892 0.0605
0.6449 0.3108 0.5605
0.9496 0.6625 0.0611
0.9496 0.8375 0.5611
0.0000 0.0000 0.0000
0.0000 0.5000 0.5000
0.1690 0.1219 0.7553
0.1690 0.3781 0.2553
0.8310 0.6219 0.7447
0.8310 0.8781 0.2447
```

This record from Alexandria via LeMat-Bulk describes Zr2HgPt after structural relaxation. The functional is PBE-GGA.

DOS(E_F) = 2.783 states/eV/f.u.
Formation energy = -0.511 eV/atom
Raw total energy = -6.370 eV per atom
Space-group type = P4mm (99)

Geometry as POSCAR:
```
Zr2HgPt
1.0
3.5229 0.0000 0.0000
0.0000 3.5229 0.0000
0.0000 0.0000 6.5960
Zr Hg Pt
2 1 1
direct
0.0000 0.0000 0.0000
0.5000 0.5000 0.2928
0.0000 0.0000 0.5410
0.5000 0.5000 0.8014
```

This record from Alexandria via LeMat-Bulk describes Th6SnSb2Te3 after structural relaxation. The functional is PBE-GGA.

DOS(E_F) = 10.211 states/eV/f.u.
Raw total energy = -6.428 eV per atom
Space-group type = C2/m (12)

Geometry as POSCAR:
```
Th6SnSb2Te3
1.0
9.7304 -2.2783 0.0000
9.7304 2.2783 0.0000
-1.7904 0.0000 8.6898
Th Sn Sb Te
6 1 2 3
direct
0.0010 0.0010 0.2469
0.3329 0.3329 0.4189
0.3346 0.3346 0.9153
0.6654 0.6654 0.0847
0.6671 0.6671 0.5811
0.9990 0.9990 0.7531
0.5000 0.5000 0.0000
0.1670 0.1670 0.3333
0.8330 0.8330 0.6667
0.1665 0.1665 0.8330
0.5000 0.5000 0.5000
0.8335 0.8335 0.1670
```

Please write out number 8 again, unchanged.
This record from Alexandria via LeMat-Bulk describes Th6SnSb2Te3 after structural relaxation. The functional is PBE-GGA.

DOS(E_F) = 10.211 states/eV/f.u.
Raw total energy = -6.428 eV per atom
Space-group type = C2/m (12)

Geometry as POSCAR:
```
Th6SnSb2Te3
1.0
9.7304 -2.2783 0.0000
9.7304 2.2783 0.0000
-1.7904 0.0000 8.6898
Th Sn Sb Te
6 1 2 3
direct
0.0010 0.0010 0.2469
0.3329 0.3329 0.4189
0.3346 0.3346 0.9153
0.6654 0.6654 0.0847
0.6671 0.6671 0.5811
0.9990 0.9990 0.7531
0.5000 0.5000 0.0000
0.1670 0.1670 0.3333
0.8330 0.8330 0.6667
0.1665 0.1665 0.8330
0.5000 0.5000 0.5000
0.8335 0.8335 0.1670
```

Repeat the fourth record exactly.
This record from Alexandria via LeMat-Bulk describes Nd4Ga2Hg after structural relaxation. The functional is PBE-GGA.

DOS(E_F) = 7.556 states/eV/f.u.
Formation energy = -0.399 eV/atom
Raw total energy = -4.031 eV per atom
Space-group type = R-3m (166)

Geometry as POSCAR:
```
Nd4Ga2Hg
1.0
2.6263 1.5163 8.3919
-2.6263 1.5163 8.3919
0.0000 -3.0326 8.3919
Nd Ga Hg
4 2 1
direct
0.1173 0.1173 0.1173
0.3697 0.3697 0.3697
0.6303 0.6303 0.6303
0.8827 0.8827 0.8827
0.2475 0.2475 0.2475
0.7525 0.7525 0.7525
0.5000 0.5000 0.5000
```